A plane-wave DFT calculation with PBE-GGA was carried out for an optimized crystal structure of AlTe2Os.

Geometry as extended XYZ:
```
8
Lattice="3.242 0.000 0.000 0.000 5.345 0.000 0.000 0.000 10.143" Properties=species:S:1:pos:R:3 pbc="T T T"
Al 0.000 0.000 0.000
Al 1.621 2.672 0.000
Te 0.000 2.672 2.885
Te 0.000 2.672 7.258
Te 1.621 0.000 2.885
Te 1.621 0.000 7.258
Os 0.000 0.000 5.071
Os 1.621 2.672 5.071
```

Values from the calculation:
**Space group**: No. 65
**Calculated total energy**: -4.60 eV per atom
**Total moment**: 0.00 μB per formula unit
**Fermi-level density of states**: 4.6 states/eV/cell